# RePBr2 (GGA-PBE, relaxed)
data_RePBr2
_cell_length_a 3.0623
_cell_length_b 4.0099
_cell_length_c 15.5595
_cell_angle_alpha 90.00
_cell_angle_beta 90.00
_cell_angle_gamma 90.00
_space_group_name_H-M_alt 'I m m m'
_space_group_IT_number 71
_space_group_name_Hall '-I 2 2'
loop_
_atom_site_label
_atom_site_fract_x
_atom_site_fract_y
_atom_site_fract_z
Re1 0.0000 0.0000 0.0000
P1 0.0000 0.0000 0.5000
Br1 0.0000 0.5000 0.3577
# * final energy: -4.941 eV/atom
# * E above lowest polymorph: 34.79 kJ/mol of atoms



# SnSeI3 (GGA-PBE, relaxed)
data_SnSeI3
_cell_length_a 6.0449
_cell_length_b 6.0449
_cell_length_c 6.0449
_cell_angle_alpha 90.00
_cell_angle_beta 90.00
_cell_angle_gamma 90.00
_space_group_name_H-M_alt 'P m -3 m'
_space_group_IT_number 221
_space_group_name_Hall '-P 4 2 3'
loop_
_atom_site_label
_atom_site_fract_x
_atom_site_fract_y
_atom_site_fract_z
Sn1 0.0000 0.0000 0.0000
Se1 0.5000 0.5000 0.5000
I1 0.0000 0.0000 0.5000
# * final energy: -2.191 eV/atom
# * E above lowest polymorph: 0.00 kJ/mol of atoms



# MgZn2HgS4 (GGA-PBE, relaxed)
data_MgZn2HgS4
_cell_length_a 5.5983
_cell_length_b 5.5983
_cell_length_c 11.4403
_cell_angle_alpha 90.00
_cell_angle_beta 90.00
_cell_angle_gamma 90.00
_space_group_name_H-M_alt 'I -4 2 m'
_space_group_IT_number 121
_space_group_name_Hall 'I -4 2'
loop_
_atom_site_label
_atom_site_fract_x
_atom_site_fract_y
_atom_site_fract_z
Mg1 0.0000 0.0000 0.0000
Zn1 0.0000 0.5000 0.2500
Hg1 0.0000 0.0000 0.5000
S1 0.2400 0.2400 0.8644
# * final energy: -3.395 eV/atom



# Ho6GeTe3Se2 (GGA-PBE, relaxed)
data_Ho6GeTe3Se2
_cell_length_a 7.2359
_cell_length_b 12.5204
_cell_length_c 7.4412
_cell_angle_alpha 90.00
_cell_angle_beta 108.83
_cell_angle_gamma 90.00
_space_group_name_H-M_alt 'C 1 2/m 1'
_space_group_IT_number 12
_space_group_name_Hall '-C 2y'
loop_
_atom_site_label
_atom_site_fract_x
_atom_site_fract_y
_atom_site_fract_z
Ho1 0.2345 0.1628 0.2168
Ho2 0.2481 0.5000 0.2186
Ge1 0.0000 0.0000 0.0000
Te1 0.0000 0.1692 0.5000
Te2 0.0000 0.5000 0.5000
Se1 0.0000 0.3339 0.0000
# * final energy: -5.474 eV/atom



# Pm6CdOs (GGA-PBE, relaxed)
data_Pm6CdOs
_cell_length_a 7.6402
_cell_length_b 11.2826
_cell_length_c 6.6843
_cell_angle_alpha 90.00
_cell_angle_beta 109.98
_cell_angle_gamma 90.00
_space_group_name_H-M_alt 'C 1 2/m 1'
_space_group_IT_number 12
_space_group_name_Hall '-C 2y'
loop_
_atom_site_label
_atom_site_fract_x
_atom_site_fract_y
_atom_site_fract_z
Pm1 0.1899 0.1883 0.2481
Pm2 0.2375 0.0000 0.7769
Cd1 0.0000 0.5000 0.5000
Os1 0.0000 0.0000 0.0000
# * formation energy from the elements: 0.0552 eV/atom
# * final energy: -5.026 eV/atom



# HfCo2Ir (GGA-PBE, relaxed)
data_HfCo2Ir
_cell_length_a 3.7473
_cell_length_b 3.7473
_cell_length_c 17.9421
_cell_angle_alpha 90.00
_cell_angle_beta 90.00
_cell_angle_gamma 90.00
_space_group_name_H-M_alt 'I -4 2 d'
_space_group_IT_number 122
_space_group_name_Hall 'I -4 2bw'
loop_
_atom_site_label
_atom_site_fract_x
_atom_site_fract_y
_atom_site_fract_z
Hf1 0.0000 0.0000 0.0000
Co1 0.1976 0.2500 0.6250
Ir1 0.0000 0.0000 0.5000
# * formation energy from the elements: 0.0994 eV/atom
# * final energy: -8.157 eV/atom



# NaZn6Ge2 (GGA-PBE, relaxed)
data_NaZn6Ge2
_cell_length_a 4.1428
_cell_length_b 4.1428
_cell_length_c 9.1916
_cell_angle_alpha 90.00
_cell_angle_beta 90.00
_cell_angle_gamma 90.00
_space_group_name_H-M_alt 'P 4/m m m'
_space_group_IT_number 123
_space_group_name_Hall '-P 4 2'
loop_
_atom_site_label
_atom_site_fract_x
_atom_site_fract_y
_atom_site_fract_z
Na1 0.0000 0.0000 0.0000
Zn1 0.0000 0.0000 0.5000
Zn2 0.0000 0.5000 0.3045
Zn3 0.5000 0.5000 0.5000
Ge1 0.5000 0.5000 0.1381
# * formation energy from the elements: -0.0077 eV/atom
# * final energy: -2.030 eV/atom



# LaDyBiSb (GGA-PBE, relaxed)
data_LaDyBiSb
_cell_length_a 4.5548
_cell_length_b 4.5548
_cell_length_c 22.2209
_cell_angle_alpha 90.00
_cell_angle_beta 90.00
_cell_angle_gamma 120.00
_space_group_name_H-M_alt 'R 3 m'
_space_group_IT_number 160
_space_group_name_Hall 'R 3 -2"'
loop_
_atom_site_label
_atom_site_fract_x
_atom_site_fract_y
_atom_site_fract_z
La1 0.0000 0.0000 0.0000
Dy1 0.0000 0.0000 0.4963
Bi1 0.0000 0.0000 0.2438
Sb1 0.0000 0.0000 0.7526
# * final energy: -5.460 eV/atom